[1]
A geometry-optimized TiRuRh3 structure. Source: the Alexandria database, functional PBE.

Relative energy among the computed polymorphs in meV/atom: 0
Energy in eV per cell: -81.95
Total magnetization in μB/atom: 0.000
Space group: C2/m (12)

a b c (Å): 7.248 7.248 5.464
angles (deg): 100.02 100.02 30.62
Element x y z (fractional)
Ti: 0.104 0.104 0.048
Ti: 0.896 0.896 0.952
Ru: 0.297 0.297 0.639
Ru: 0.703 0.703 0.361
Rh: 0.103 0.103 0.548
Rh: 0.299 0.299 0.153
Rh: 0.497 0.497 0.750
Rh: 0.503 0.503 0.250
Rh: 0.701 0.701 0.847
Rh: 0.897 0.897 0.452

[2]
A geometry-optimized TiRuRh3 structure. Source: the Alexandria database, functional PBE.

Relative energy among the computed polymorphs in meV/atom: 1549
Energy in eV per cell: -33.23
Total magnetization in μB/atom: 0.000
Space group: Pm-3m (221)

a b c (Å): 4.629 4.629 4.629
angles (deg): 90.00 90.00 90.00
Element x y z (fractional)
Ti: 0.000 0.000 0.000
Ru: 0.500 0.500 0.500
Rh: 0.000 0.500 0.500
Rh: 0.500 0.000 0.500
Rh: 0.500 0.500 0.000

[3]
A geometry-optimized TiRuRh2 structure. Source: the Alexandria database, functional PBE.

Energy in eV per cell: -33.55
Total magnetization in μB/atom: 0.000
Space group: Imm2 (44)

a b c (Å): 5.146 5.146 5.146
angles (deg): 148.39 64.23 125.67
Element x y z (fractional)
Ti: 0.000 0.000 0.000
Ru: 0.502 0.002 0.500
Rh: 0.421 0.670 0.751
Rh: 0.920 0.670 0.249

[4]
A geometry-optimized TiRu2Rh structure. Source: the Alexandria database, functional PBE.

Energy in eV per cell: -34.03
Total magnetization in μB/atom: 0.000
Space group: Fm-3m (225)

a b c (Å): 4.353 4.353 4.353
angles (deg): 60.00 60.00 60.00
Element x y z (fractional)
Ti: 0.000 0.000 0.000
Ru: 0.250 0.250 0.250
Ru: 0.750 0.750 0.750
Rh: 0.500 0.500 0.500

[5]
A geometry-optimized Ti4Ru2Rh structure. Source: the Alexandria database, functional PBE.

Energy in eV per cell: -60.94
Total magnetization in μB/atom: 0.000
Space group: I4/mmm (139)

a b c (Å): 5.295 5.295 5.295
angles (deg): 109.60 109.60 109.21
Element x y z (fractional)
Ti: 0.000 0.000 0.500
Ti: 0.000 0.500 0.000
Ti: 0.500 0.000 0.000
Ti: 0.500 0.500 0.500
Ru: 0.000 0.500 0.500
Ru: 0.500 0.000 0.500
Rh: 0.000 0.000 0.000

[6]
A geometry-optimized TiRuRh2 structure. Source: the Alexandria database, functional PBE.

Energy in eV per cell: -33.58
Total magnetization in μB/atom: 0.000
Space group: Cmmm (65)

a b c (Å): 4.667 4.667 2.775
angles (deg): 90.00 90.00 108.35
Element x y z (fractional)
Ti: 0.000 0.000 0.000
Ru: 0.500 0.500 0.000
Rh: 0.000 0.500 0.500
Rh: 0.500 0.000 0.500

[7]
A geometry-optimized TiRuRh2 structure. Source: the Alexandria database, functional PBE.

Energy in eV per cell: -32.35
Total magnetization in μB/atom: 0.494
Space group: Fm-3m (225)

a b c (Å): 4.383 4.383 4.383
angles (deg): 60.00 60.00 60.00
Element x y z (fractional)
Ti: 0.000 0.000 0.000
Ru: 0.500 0.500 0.500
Rh: 0.250 0.250 0.250
Rh: 0.750 0.750 0.750

[8]
A geometry-optimized TiRuRh2 structure. Source: the Alexandria database, functional PBE.

Energy in eV per cell: -33.08
Total magnetization in μB/atom: 0.000
Space group: Pm (6)

a b c (Å): 2.776 4.182 5.205
angles (deg): 90.00 105.22 90.00
Element x y z (fractional)
Ti: 0.000 0.000 0.000
Ru: 0.866 0.500 0.719
Rh: 0.270 0.000 0.521
Rh: 0.602 0.500 0.199

[9]
A geometry-optimized TiRuRh3 structure. Source: the Alexandria database, functional PBE.

Relative energy among the computed polymorphs in meV/atom: 1277
Energy in eV per cell: -34.59
Total magnetization in μB/atom: 0.652
Space group: Pm-3m (221)

a b c (Å): 4.483 4.483 4.483
angles (deg): 90.00 90.00 90.00
Element x y z (fractional)
Ti: 0.000 0.000 0.000
Ru: 0.500 0.500 0.500
Rh: 0.000 0.000 0.500
Rh: 0.000 0.500 0.000
Rh: 0.500 0.000 0.000

[10]
A geometry-optimized Ti2RuRh2 structure. Source: the Alexandria database, functional PBE.

Relative energy among the computed polymorphs in meV/atom: 0
Energy in eV per cell: -83.64
Total magnetization in μB/atom: 0.000
Space group: P4/mbm (127)

a b c (Å): 7.086 7.086 3.021
angles (deg): 90.00 90.00 90.00
Element x y z (fractional)
Ti: 0.160 0.340 0.000
Ti: 0.340 0.840 0.000
Ti: 0.660 0.160 0.000
Ti: 0.840 0.660 0.000
Ru: 0.000 0.000 0.000
Ru: 0.500 0.500 0.000
Rh: 0.143 0.643 0.500
Rh: 0.357 0.143 0.500
Rh: 0.643 0.857 0.500
Rh: 0.857 0.357 0.500

[11]
A geometry-optimized TiRu2Rh structure. Source: the Alexandria database, functional PBE.

Energy in eV per cell: -66.17
Total magnetization in μB/atom: 0.000
Space group: I-42d (122)

a b c (Å): 9.423 9.423 9.423
angles (deg): 157.29 157.29 32.33
Element x y z (fractional)
Ti: 0.000 0.000 0.000
Ti: 0.750 0.250 0.500
Ru: 0.112 0.625 0.987
Ru: 0.375 0.362 0.487
Ru: 0.638 0.125 0.013
Ru: 0.875 0.888 0.513
Rh: 0.250 0.750 0.500
Rh: 0.500 0.500 0.000

[12]
A geometry-optimized TiRuRh2 structure. Source: the Alexandria database, functional PBE.

Energy in eV per cell: -33.35
Total magnetization in μB/atom: 0.000
Space group: P2/m (10)

a b c (Å): 4.599 2.820 4.640
angles (deg): 90.00 106.83 90.00
Element x y z (fractional)
Ti: 0.000 0.000 0.000
Ru: 0.500 0.500 0.000
Rh: 0.000 0.500 0.500
Rh: 0.500 0.000 0.500

Q: Number 3 is which compound?
A: TiRuRh2

Q: Among the records above, which one has the highest total magnetization?
A: number 9

Q: What is the energy in the twelfth record?
A: -33.35 eV per cell